DFT (PBE+U) results for Li2LaCrF8 after structural relaxation.

The space group is P-1 (No. 2) and the conventional cell measures 4.497, 4.914 and 7.147 Å, with angles of 84.48, 89.50 and 87.45 degrees. The distinct sites, in fractional coordinates, are Li at (0.031, 0.032, 0.308), La at (0.500, 0.500, 0.000), Cr at (0.500, 0.500, 0.500), F at (0.114, 0.225, 0.056), F at (0.192, 0.234, 0.510), F at (0.322, 0.705, 0.698) and F at (0.327, 0.722, 0.278).

The density of states at the Fermi level comes out at 0.0000 states/eV per atom. As for the total magnetization: 3.000 Bohr magnetons per cell. Its raw total energy is -70.0 eV per cell. Its density is 3772 kg/m³.